MgAg4Pb (PBEsol, optimized geometry); total DFT energy (no corrections) = -3.193 eV/atom; total magnetic moment = 0.00 μB/cell; ΔE_f = -0.0334 eV per atom; space group = No. 216
1.0
0.0000 3.8872 3.8872
3.8872 0.0000 3.8872
3.8872 3.8872 0.0000
Mg Ag Pb
1 4 1
direct
0.0000 0.0000 0.0000
0.3745 0.3745 0.3745
0.3745 0.3745 0.8765
0.3745 0.8765 0.3745
0.8765 0.3745 0.3745
0.7500 0.7500 0.7500